Record 1
Computed, not measured: a relaxed structure of Hf2CoAg at the PBE level of DFT.

Cell: 6.579 6.579 6.579 Å, 90.00 90.00 90.00°
Element x y z (fractional)
Hf  0.250  0.250  0.250
Hf  0.250  0.250  0.750
Hf  0.250  0.750  0.250
Hf  0.250  0.750  0.750
Hf  0.750  0.250  0.250
Hf  0.750  0.250  0.750
Hf  0.750  0.750  0.250
Hf  0.750  0.750  0.750
Co  0.000  0.000  0.000
Co  0.000  0.500  0.500
Co  0.500  0.000  0.500
Co  0.500  0.500  0.000
Ag  0.000  0.000  0.500
Ag  0.000  0.500  0.000
Ag  0.500  0.000  0.000
Ag  0.500  0.500  0.500

Calculated values
ΔH_f (0 K) (eV/atom): -0.062
Crystal system: cubic
Offset from the most stable computed form (eV per atom): 0.099

---

Record 2
Computed, not measured: a relaxed structure of Hf2CoAg at the PBE level of DFT.

Cell: 3.262 3.262 27.133 Å, 90.00 90.00 120.00°
Element x y z (fractional)
Hf  0.000  0.000  0.107
Hf  0.000  0.000  0.893
Hf  0.333  0.667  0.560
Hf  0.333  0.667  0.773
Hf  0.667  0.333  0.227
Hf  0.667  0.333  0.440
Co  0.000  0.000  0.500
Co  0.333  0.667  0.167
Co  0.667  0.333  0.833
Ag  0.000  0.000  0.000
Ag  0.333  0.667  0.667
Ag  0.667  0.333  0.333

Calculated values
ΔH_f (0 K) (eV/atom): 0.279
Crystal system: trigonal
Offset from the most stable computed form (eV per atom): 0.440

---

Record 3
Computed, not measured: a relaxed structure of Hf2CoAg at the PBE level of DFT.

Cell: 3.162 3.162 7.095 Å, 90.00 90.00 90.00°
Element x y z (fractional)
Hf  0.000  0.000  0.219
Hf  0.000  0.000  0.781
Co  0.500  0.500  0.000
Ag  0.500  0.500  0.500

Calculated values
ΔH_f (0 K) (eV/atom): -0.161
Crystal system: tetragonal
Offset from the most stable computed form (eV per atom): 0.000

---

Record 4
Computed, not measured: a relaxed structure of HfCo4Ag at the PBE level of DFT.

Cell: 4.845 4.845 4.845 Å, 60.00 60.00 60.00°
Element x y z (fractional)
Hf  0.000  0.000  0.000
Co  0.375  0.375  0.375
Co  0.375  0.375  0.875
Co  0.375  0.875  0.375
Co  0.875  0.375  0.375
Ag  0.750  0.750  0.750

Calculated values
ΔH_f (0 K) (eV/atom): -0.131
Crystal system: cubic

---

no.,VASP energy (eV/atom),calculated density (g/cm³),spin magnetization (μB/f.u.)
1,-7.53,12.2,0.3
2,-7.19,10.4,0.0
3,-7.63,12.3,0.3
4,-7.00,10.8,5.1